VASP calculation (PBE) on a relaxed structure of NaRe3Te.

Unit cell a=4.8966 b=4.8966 c=4.8966 alpha=90.00 beta=90.00 gamma=90.00
Last column: nearest neighbours and their distance in Å.
Fractional positions:
Te: 0.0000 0.0000 0.0000  6 Re 2.45
Re: 0.0000 0.5000 0.0000  2 Te 2.45
Re: 0.0000 0.0000 0.5000  2 Te 2.45
Na: 0.5000 0.5000 0.5000  12 Re 3.46
Re: 0.5000 0.0000 0.0000  2 Te 2.45

Output
theoretical density = 10.03 g/cm³
energy above the most stable polymorph in this dataset = 0.00 kJ/mol of atoms
raw formation energy = 2395.1 meV per atom
V = 23.5 Å³/atom
final energy = -29.83 eV per formula unit

***

VASP calculation (PBE) on a relaxed structure of YCd5.

Unit cell a=3.5677 b=3.5677 c=11.1560 alpha=90.00 beta=90.00 gamma=90.00
Last column: nearest neighbours and their distance in Å.
Fractional positions:
Cd: 0.5000 0.5000 0.1731  8 Cd 3.07-3.09
Cd: 0.0000 0.0000 0.0167  4 Cd 3.07, 4 Y 3.25
Y: 0.5000 0.5000 0.8333  8 Cd 3.25, 4 Y 3.57
Cd: 0.0000 0.0000 0.3333  8 Cd 3.09
Cd: 0.0000 0.0000 0.6500  4 Cd 3.07, 4 Y 3.25
Cd: 0.5000 0.5000 0.4936  8 Cd 3.07-3.09

Output
theoretical density = 7.61 g/cm³
formation energy = -0.12 eV/atom
V = 23.7 Å³/atom
final energy = -11.76 eV per formula unit

***

VASP calculation (PBE) on a relaxed structure of Cd3FeH.

Unit cell a=5.1278 b=5.1278 c=5.1278 alpha=90.00 beta=90.00 gamma=90.00
Last column: nearest neighbours and their distance in Å.
Fractional positions:
Fe: 0.0000 0.0000 0.0000  6 Cd 2.56
H: 0.5000 0.5000 0.5000  12 Cd 3.63
Cd: 0.5000 0.0000 0.0000  2 Fe 2.56
Cd: 0.0000 0.0000 0.5000  2 Fe 2.56
Cd: 0.0000 0.5000 0.0000  2 Fe 2.56

Output
theoretical density = 4.85 g/cm³
energy above the most stable polymorph in this dataset = 38.96 kJ/mol of atoms
V = 27.0 Å³/atom
final energy = -9.95 eV per formula unit

***

VASP calculation (PBE) on a relaxed structure of NpInCuAu.

Unit cell a=4.8877 b=4.8877 c=4.8877 alpha=60.00 beta=60.00 gamma=60.00
Last column: nearest neighbours and their distance in Å.
Fractional positions:
Np: 0.0000 0.0000 0.0000  4 Cu 2.99, 4 Au 2.99
Cu: 0.2500 0.2500 0.2500  4 In 2.99, 4 Np 2.99
Au: 0.7500 0.7500 0.7500  4 In 2.99, 4 Np 2.99
In: 0.5000 0.5000 0.5000  4 Au 2.99, 4 Cu 2.99

Output
theoretical density = 12.32 g/cm³
formation energy = -0.01 eV/atom
V = 20.6 Å³/atom
final energy = -23.10 eV per formula unit

***

VASP calculation (PBE) on a relaxed structure of CsHfTl.

Unit cell a=9.9128 b=5.0535 c=8.6612 alpha=90.00 beta=90.00 gamma=90.00
Last column: nearest neighbours and their distance in Å.
Fractional positions:
Tl: 0.3228 0.2500 0.1811  1 Hf 2.89
Cs: 0.9369 0.2500 0.8704  2 Cs 3.60, 4 Tl 3.64-3.84, 4 Hf 3.76-3.84
Hf: 0.4132 0.7500 0.9616  1 Tl 2.89, 2 Hf 3.13
Tl: 0.6772 0.7500 0.8189  1 Hf 2.89
Cs: 0.0631 0.7500 0.1296  2 Cs 3.60, 4 Tl 3.64-3.84, 4 Hf 3.76-3.84
Cs: 0.5631 0.7500 0.3704  2 Cs 3.60, 4 Tl 3.64-3.84, 4 Hf 3.76-3.84
Hf: 0.5868 0.2500 0.0384  1 Tl 2.89, 2 Hf 3.13
Tl: 0.1772 0.7500 0.6811  1 Hf 2.89
Cs: 0.4369 0.2500 0.6296  2 Cs 3.60, 4 Tl 3.64-3.84, 4 Hf 3.76-3.84
Tl: 0.8228 0.2500 0.3189  1 Hf 2.89
Hf: 0.0868 0.2500 0.4616  1 Tl 2.89, 2 Hf 3.13
Hf: 0.9132 0.7500 0.5384  1 Tl 2.89, 2 Hf 3.13

Output
theoretical density = 7.90 g/cm³
formation energy = 0.61 eV/atom
energy above the most stable polymorph in this dataset = 10.09 kJ/mol of atoms
V = 36.2 Å³/atom
final energy = -11.35 eV per formula unit

***

VASP calculation (PBE) on a relaxed structure of Mg4Cd7Ag.

Unit cell a=5.3174 b=8.0724 c=8.7740 alpha=75.30 beta=92.99 gamma=49.61
Last column: nearest neighbours and their distance in Å.
Fractional positions:
Cd: 0.4331 0.2901 0.4231  5 Cd 2.87-3.16, 3 Mg 2.98-3.20
Cd: 0.0604 0.1816 0.6304  5 Cd 3.11-3.24, 6 Mg 3.13-3.39, 1 Ag 3.33
Cd: 0.6825 0.5619 0.9268  3 Cd 2.87-2.93, 2 Mg 3.13-3.14
Cd: 0.3175 0.4381 0.0732  3 Cd 2.87-2.93, 2 Mg 3.13-3.14
Cd: 0.5000 0.0000 0.0000  2 Ag 2.66
Ag: 0.0000 0.0000 0.0000  2 Cd 2.66, 4 Mg 2.88-2.91
Mg: 0.3835 0.3904 0.7300  1 Ag 2.88, 4 Cd 2.98-3.14, 2 Mg 3.00-3.15
Mg: 0.8854 0.8726 0.7400  1 Ag 2.91, 7 Cd 2.99-3.25, 2 Mg 3.00-3.15
Cd: 0.5669 0.7099 0.5769  5 Cd 2.87-3.16, 3 Mg 2.98-3.20
Mg: 0.1146 0.1274 0.2600  1 Ag 2.91, 7 Cd 2.99-3.25, 2 Mg 3.00-3.15
Mg: 0.6165 0.6096 0.2700  1 Ag 2.88, 4 Cd 2.98-3.14, 2 Mg 3.00-3.15
Cd: 0.9396 0.8184 0.3696  5 Cd 3.11-3.24, 6 Mg 3.13-3.39, 1 Ag 3.33

Output
theoretical density = 6.21 g/cm³
formation energy = -0.06 eV/atom
V = 22.1 Å³/atom
final energy = -16.33 eV per formula unit